[1]
Here is a relaxed structure of Li2SnRh from Alexandria via LeMat-Bulk. Energies are from PBE-GGA.

Its formation energy is 0.1 eV/f.u.

a = 2.9879 Å, b = 2.9879 Å, c = 28.8615 Å
α = 90.00°, β = 90.00°, γ = 120.00°
Closest atoms and distances in Å follow each position.
Space group R-3m (No. 166, hexagonal axes)
One atom of each set of equivalent atoms:
Li: 0.0000 0.0000 0.1003 (multiplicity 6)  3 Rh 2.58
Sn: 0.0000 0.0000 0.0000 (multiplicity 3)  2 Li 2.90, 6 Sn 2.99
Rh: 0.0000 0.0000 0.5000 (multiplicity 3)  6 Li 2.58



[2]
Here is a relaxed structure of CaYMgS2 from Alexandria via LeMat-Bulk. Energies are from PBE-GGA.

The raw total energy comes out at -3.961 eV per atom.

a = 5.1268 Å, b = 5.1268 Å, c = 5.2267 Å
α = 90.00°, β = 90.00°, γ = 90.00°
Closest atoms and distances in Å follow each position.
Space group P4/mmm (No. 123)
One atom of each set of equivalent atoms:
Ca: 0.0000 0.0000 0.0000 (multiplicity 1)  4 S 2.56, 2 Mg 2.61
Y: 0.5000 0.5000 0.5000 (multiplicity 1)  4 Mg 3.63, 8 S 3.66
Mg: 0.0000 0.0000 0.5000 (multiplicity 1)  2 Ca 2.61
S: 0.0000 0.5000 0.0000 (multiplicity 2)  2 Ca 2.56



[3]
Here is a relaxed structure of Na3Dy3SbSe8 from Alexandria via LeMat-Bulk. Energies are from PBE-GGA.

The raw total energy comes out at -4.703 eV per atom.

a = 8.2327 Å, b = 8.2327 Å, c = 21.2089 Å
α = 90.00°, β = 90.00°, γ = 120.00°
Closest atoms and distances in Å follow each position.
Space group R-3m (No. 166, hexagonal axes)
One atom of each set of equivalent atoms:
Na: 0.0000 0.5000 0.0000 (multiplicity 9)  6 Se 3.05
Dy: 0.0000 0.5000 0.5000 (multiplicity 9)  6 Se 2.87-2.88
Sb: 0.0000 0.0000 0.5000 (multiplicity 3)  6 Se 2.81
Se: 0.0000 0.0000 0.2428 (multiplicity 6)  3 Dy 2.87, 3 Na 3.05
Se: 0.0075 0.5038 0.2414 (multiplicity 18)  1 Sb 2.81, 2 Dy 2.88, 2 Na 3.05



[4]
Here is a relaxed structure of Pa3P4Ru4 from Alexandria via LeMat-Bulk. Energies are from PBE-GGA.

Its formation energy is -10.5 eV/f.u.

a = 3.9701 Å, b = 6.9475 Å, c = 13.3694 Å
α = 90.00°, β = 90.00°, γ = 90.00°
Closest atoms and distances in Å follow each position.
Space group Immm (No. 71)
One atom of each set of equivalent atoms:
Pa: 0.0000 0.0000 0.0000 (multiplicity 2)  6 P 2.79-2.89
Pa: 0.0000 0.5000 0.1197 (multiplicity 4)  6 Ru 2.96-3.07, 6 P 2.96-2.97, 1 Pa 3.20
P: 0.0000 0.0000 0.2161 (multiplicity 4)  6 Ru 2.50-2.51
P: 0.0000 0.2181 0.5000 (multiplicity 4)  2 Ru 2.42
Ru: 0.0000 0.2956 0.3234 (multiplicity 8)  4 P 2.42-2.51



[5]
Here is a relaxed structure of Pm3SmTl4 from Alexandria via LeMat-Bulk. Energies are from PBE-GGA.

Its formation energy is -3.1 eV/f.u.

a = 3.8783 Å, b = 3.8783 Å, c = 15.5014 Å
α = 90.00°, β = 90.00°, γ = 90.00°
Closest atoms and distances in Å follow each position.
Space group P4/mmm (No. 123)
One atom of each set of equivalent atoms:
Pm: 0.0000 0.0000 0.0000 (multiplicity 1)  8 Tl 3.36
Pm: 0.0000 0.0000 0.2510 (multiplicity 2)  8 Tl 3.36
Sm: 0.0000 0.0000 0.5000 (multiplicity 1)  8 Tl 3.34
Tl: 0.5000 0.5000 0.1256 (multiplicity 2)  8 Pm 3.36
Tl: 0.5000 0.5000 0.3766 (multiplicity 2)  4 Sm 3.34, 4 Pm 3.36



[6]
Here is a relaxed structure of La2TlW from Alexandria via LeMat-Bulk. Energies are from PBE-GGA.

Its formation energy is 2.6 eV/f.u.

a = 3.5293 Å, b = 3.5293 Å, c = 30.2182 Å
α = 90.00°, β = 90.00°, γ = 120.00°
Closest atoms and distances in Å follow each position.
Space group R3m (No. 160, hexagonal axes)
One atom of each set of equivalent atoms:
La: 0.0000 0.0000 0.0000 (multiplicity 3)  3 W 2.96
La: 0.0000 0.0000 0.2311 (multiplicity 3)  3 Tl 3.41, 9 La 3.53-3.70
Tl: 0.0000 0.0000 0.4739 (multiplicity 3)  3 W 2.93
W: 0.0000 0.0000 0.7375 (multiplicity 3)  3 Tl 2.93, 3 La 2.96



[7]
Here is a relaxed structure of PtN2O2 from Alexandria via LeMat-Bulk. Energies are from PBE-GGA.

The raw total energy comes out at -6.767 eV per atom.

a = 5.5251 Å, b = 3.1883 Å, c = 9.2672 Å
α = 90.00°, β = 101.66°, γ = 90.00°
Closest atoms and distances in Å follow each position.
Space group C2/m (No. 12)
One atom of each set of equivalent atoms:
Pt: 0.0000 0.0000 0.0000 (multiplicity 2)  6 O 2.06
N: 0.0202 0.5000 0.5613 (multiplicity 4)  1 N 1.11
O: 0.2015 0.5000 0.1026 (multiplicity 4)  3 Pt 2.06



[8]
Here is a relaxed structure of ZnIn2Se from Alexandria via LeMat-Bulk. Energies are from PBE-GGA.

The raw total energy comes out at -2.616 eV per atom.

a = 4.9341 Å, b = 5.2896 Å, c = 7.3400 Å
α = 90.00°, β = 90.00°, γ = 90.00°
Closest atoms and distances in Å follow each position.
Space group Cmmm (No. 65)
One atom of each set of equivalent atoms:
Zn: 0.0000 0.0000 0.0000 (multiplicity 2)  8 In 3.10-3.24
In: 0.0000 0.5000 0.2558 (multiplicity 4)  4 Se 3.05-3.20, 4 Zn 3.10-3.24
Se: 0.0000 0.0000 0.5000 (multiplicity 2)  8 In 3.05-3.20



[9]
Here is a relaxed structure of CaAlCo2Ni from Alexandria via LeMat-Bulk. Energies are from PBE-GGA.

Its formation energy is 8.0 eV/f.u.

a = 4.4503 Å, b = 4.4503 Å, c = 4.4753 Å
α = 90.00°, β = 90.00°, γ = 90.00°
Closest atoms and distances in Å follow each position.
Space group P4/mmm (No. 123)
One atom of each set of equivalent atoms:
Ca: 0.0000 0.0000 0.0000 (multiplicity 1)  4 Co 2.23, 2 Ni 2.24
Al: 0.5000 0.5000 0.5000 (multiplicity 1)  4 Ni 3.15, 8 Co 3.16
Co: 0.0000 0.5000 0.0000 (multiplicity 2)  2 Ca 2.23
Ni: 0.0000 0.0000 0.5000 (multiplicity 1)  2 Ca 2.24



[10]
Here is a relaxed structure of Al2Cu3Si3 from Alexandria via LeMat-Bulk. Energies are from PBE-GGA.

The raw total energy comes out at -4.368 eV per atom.

a = 7.1877 Å, b = 7.1877 Å, c = 2.5883 Å
α = 90.00°, β = 90.00°, γ = 120.00°
Closest atoms and distances in Å follow each position.
Space group P-62m (No. 189)
One atom of each set of equivalent atoms:
Al: 0.3333 0.6667 0.0000 (multiplicity 2)  2 Al 2.59, 6 Cu 2.66
Cu: 0.0000 0.3529 0.5000 (multiplicity 3)  4 Si 2.56, 2 Cu 2.59, 4 Al 2.66
Si: 0.0000 0.7911 0.0000 (multiplicity 3)  4 Cu 2.56, 4 Si 2.59-2.60



[11]
Here is a relaxed structure of UGeRh from Alexandria via LeMat-Bulk. Energies are from PBE-GGA.

Its formation energy is -1.7 eV/f.u.

a = 6.0067 Å, b = 4.5570 Å, c = 7.8984 Å
α = 90.00°, β = 90.00°, γ = 90.00°
Closest atoms and distances in Å follow each position.
Space group Pnma (No. 62)
One atom of each set of equivalent atoms:
U: 0.0051 0.2500 0.2247 (multiplicity 4)  6 Rh 2.88-3.18, 6 Ge 3.01-3.10, 2 U 3.03
Ge: 0.2123 0.2500 0.5839 (multiplicity 4)  4 Rh 2.64-2.70
Rh: 0.2373 0.7500 0.4172 (multiplicity 4)  4 Ge 2.64-2.70, 1 U 2.88



[12]
Here is a relaxed structure of LaSc2Fe from Alexandria via LeMat-Bulk. Energies are from PBE-GGA.

Its formation energy is 2.8 eV/f.u.

a = 6.9337 Å, b = 6.9337 Å, c = 10.4265 Å
α = 90.00°, β = 90.00°, γ = 90.00°
Closest atoms and distances in Å follow each position.
Space group I4_1/amd (No. 141, origin choice 2)
One atom of each set of equivalent atoms:
La: 0.0000 0.2500 0.3750 (multiplicity 4)  12 Sc 4.09-4.28, 4 La 4.34, 4 Fe 4.34
Sc: 0.0000 0.0000 0.0000 (multiplicity 8)  2 Fe 2.17
Fe: 0.0000 0.2500 0.8750 (multiplicity 4)  4 Sc 2.17



[13]
Here is a relaxed structure of La2MgSn3Pd4 from Alexandria via LeMat-Bulk. Energies are from PBE-GGA.

Its formation energy is -8.1 eV/f.u.

a = 4.6017 Å, b = 4.6017 Å, c = 10.7725 Å
α = 90.00°, β = 90.00°, γ = 90.00°
Closest atoms and distances in Å follow each position.
Space group P-4m2 (No. 115)
One atom of each set of equivalent atoms:
La: 0.0000 0.5000 0.2403 (multiplicity 2)  8 Pd 3.46-3.55, 6 Sn 3.47-3.62, 2 Mg 3.62
Mg: 0.0000 0.0000 0.5000 (multiplicity 1)  4 Pd 2.68
Sn: 0.0000 0.5000 0.8708 (multiplicity 2)  5 Pd 2.62-2.69
Sn: 0.5000 0.5000 0.5000 (multiplicity 1)  4 Pd 2.68
Pd: 0.0000 0.0000 0.0000 (multiplicity 1)  4 Sn 2.69
Pd: 0.0000 0.5000 0.6280 (multiplicity 2)  3 Sn 2.62-2.68, 2 Mg 2.68
Pd: 0.5000 0.5000 0.0000 (multiplicity 1)  4 Sn 2.69



[14]
Here is a relaxed structure of TlTcSN2 from Alexandria via LeMat-Bulk. Energies are from PBE-GGA.

The raw total energy comes out at -4.418 eV per atom.

a = 4.1440 Å, b = 4.1440 Å, c = 5.8606 Å
α = 90.00°, β = 90.00°, γ = 90.00°
Closest atoms and distances in Å follow each position.
Space group P4/mmm (No. 123)
One atom of each set of equivalent atoms:
Tl: 0.0000 0.0000 0.0000 (multiplicity 1)  4 N 2.07
Tc: 0.5000 0.5000 0.5000 (multiplicity 1)  4 S 2.93
S: 0.0000 0.0000 0.5000 (multiplicity 1)  4 Tc 2.93, 2 Tl 2.93
N: 0.0000 0.5000 0.0000 (multiplicity 2)  2 Tl 2.07



[15]
Here is a relaxed structure of Hf2PRuBr from Alexandria via LeMat-Bulk. Energies are from PBE-GGA.

The raw total energy comes out at -6.451 eV per atom.

a = 4.8744 Å, b = 4.8744 Å, c = 4.7850 Å
α = 90.00°, β = 90.00°, γ = 90.00°
Closest atoms and distances in Å follow each position.
Space group P4/mmm (No. 123)
One atom of each set of equivalent atoms:
Hf: 0.0000 0.5000 0.0000 (multiplicity 2)  2 P 2.44
P: 0.0000 0.0000 0.0000 (multiplicity 1)  2 Br 2.39, 4 Hf 2.44
Ru: 0.5000 0.5000 0.5000 (multiplicity 1)  8 Hf 3.42, 4 Br 3.45
Br: 0.0000 0.0000 0.5000 (multiplicity 1)  2 P 2.39



[16]
Here is a relaxed structure of Er2Co5Si2B from Alexandria via LeMat-Bulk. Energies are from PBE-GGA.

The raw total energy comes out at -6.460 eV per atom.

a = 9.5806 Å, b = 9.5806 Å, c = 2.8019 Å
α = 90.00°, β = 90.00°, γ = 90.00°
Closest atoms and distances in Å follow each position.
Space group P4/mbm (No. 127)
One atom of each set of equivalent atoms:
Er: 0.1712 0.3288 0.0000 (multiplicity 4)  3 Si 2.64-2.94, 6 Co 2.71-2.91, 2 Er 2.80
Co: 0.0000 0.5000 0.5000 (multiplicity 2)  4 Si 2.29
Co: 0.0497 0.8189 0.5000 (multiplicity 8)  2 B 2.28, 2 Si 2.40, 2 Co 2.54
Si: 0.1339 0.6339 0.0000 (multiplicity 4)  6 Co 2.29-2.40
B: 0.0000 0.0000 0.0000 (multiplicity 2)  8 Co 2.28



[17]
Here is a relaxed structure of RbGa3Re from Alexandria via LeMat-Bulk. Energies are from PBE-GGA.

Its formation energy is -0.3 eV/f.u.

a = 4.9675 Å, b = 4.9675 Å, c = 4.9675 Å
α = 90.00°, β = 90.00°, γ = 90.00°
Closest atoms and distances in Å follow each position.
Space group Pm-3m (No. 221)
One atom of each set of equivalent atoms:
Rb: 0.0000 0.0000 0.0000 (multiplicity 1)  12 Ga 3.51
Ga: 0.0000 0.5000 0.5000 (multiplicity 3)  2 Re 2.48
Re: 0.5000 0.5000 0.5000 (multiplicity 1)  6 Ga 2.48



[18]
Here is a relaxed structure of CrNi3 from Alexandria via LeMat-Bulk. Energies are from PBE-GGA.

Its formation energy is 0.3 eV/f.u.

a = 2.4786 Å, b = 8.1449 Å, c = 4.3407 Å
α = 90.00°, β = 90.00°, γ = 90.00°
Closest atoms and distances in Å follow each position.
Space group Imm2 (No. 44)
One atom of each set of equivalent atoms:
Cr: 0.0000 0.0000 0.0000 (multiplicity 2)  2 Cr 2.48, 10 Ni 2.48-2.51
Ni: 0.0000 0.2499 0.3392 (multiplicity 4)  9 Ni 2.48-2.51, 3 Cr 2.48-2.51
Ni: 0.0000 0.5000 0.0032 (multiplicity 2)  8 Ni 2.48-2.51, 4 Cr 2.49-2.51



[19]
Here is a relaxed structure of KIrOs from Alexandria via LeMat-Bulk. Energies are from PBE-GGA.

Its formation energy is 2.4 eV/f.u.

a = 4.0251 Å, b = 4.0251 Å, c = 11.3506 Å
α = 90.00°, β = 90.00°, γ = 120.00°
Closest atoms and distances in Å follow each position.
Space group P-6m2 (No. 187)
One atom of each set of equivalent atoms:
K: 0.0000 0.0000 0.0000 (multiplicity 1)  6 Ir 3.46, 6 Os 3.87
K: 0.0000 0.0000 0.5000 (multiplicity 1)  6 Os 3.47, 6 Ir 3.88
Ir: 0.3333 0.6667 0.2260 (multiplicity 2)  3 Os 2.38
Os: 0.6667 0.3333 0.2726 (multiplicity 2)  3 Ir 2.38



[20]
Here is a relaxed structure of TcRu2Rh2 from Alexandria via LeMat-Bulk. Energies are from PBE-GGA.

Its formation energy is 1.8 eV/f.u.

a = 4.0629 Å, b = 5.5411 Å, c = 6.6924 Å
α = 90.00°, β = 90.00°, γ = 90.00°
Closest atoms and distances in Å follow each position.
Space group Immm (No. 71)
One atom of each set of equivalent atoms:
Tc: 0.0000 0.0000 0.0000 (multiplicity 2)  4 Ru 2.57
Ru: 0.0000 0.2164 0.5000 (multiplicity 4)  1 Ru 2.40, 2 Tc 2.57, 6 Rh 2.59-2.69
Rh: 0.0000 0.5000 0.1917 (multiplicity 4)  1 Rh 2.57, 6 Ru 2.59-2.69



[21]
Here is a relaxed structure of Mg2AgBr from Alexandria via LeMat-Bulk. Energies are from PBE-GGA.

The raw total energy comes out at -2.170 eV per atom.

a = 7.4039 Å, b = 7.4039 Å, c = 7.2228 Å
α = 90.00°, β = 90.00°, γ = 90.00°
Closest atoms and distances in Å follow each position.
Space group I-42d (No. 122)
One atom of each set of equivalent atoms:
Mg: 0.2424 0.2500 0.1250 (multiplicity 8)  2 Ag 2.73, 2 Br 2.81
Ag: 0.0000 0.0000 0.0000 (multiplicity 4)  4 Mg 2.73
Br: 0.0000 0.0000 0.5000 (multiplicity 4)  4 Mg 2.81



[22]
Here is a relaxed structure of ZnTe2Pt from Alexandria via LeMat-Bulk. Energies are from PBE-GGA.

The raw total energy comes out at -3.153 eV per atom.

a = 3.3935 Å, b = 3.3935 Å, c = 7.5907 Å
α = 90.00°, β = 90.00°, γ = 90.00°
Closest atoms and distances in Å follow each position.
Space group P4/mmm (No. 123)
One atom of each set of equivalent atoms:
Zn: 0.0000 0.0000 0.0000 (multiplicity 1)  8 Te 3.15, 4 Zn 3.39
Te: 0.5000 0.5000 0.2681 (multiplicity 2)  4 Pt 2.98, 4 Zn 3.15
Pt: 0.0000 0.0000 0.5000 (multiplicity 1)  8 Te 2.98



[23]
Here is a relaxed structure of ScBeTc from Alexandria via LeMat-Bulk. Energies are from PBE-GGA.

Its formation energy is -0.5 eV/f.u.

a = 3.1925 Å, b = 3.1925 Å, c = 8.7085 Å
α = 90.00°, β = 90.00°, γ = 90.00°
Closest atoms and distances in Å follow each position.
Space group I4mm (No. 107)
One atom of each set of equivalent atoms:
Sc: 0.0000 0.0000 0.0000 (multiplicity 2)  1 Be 2.56, 5 Tc 2.61-2.85
Be: 0.0000 0.0000 0.2945 (multiplicity 2)  4 Tc 2.40, 1 Sc 2.56
Tc: 0.0000 0.0000 0.7003 (multiplicity 2)  4 Be 2.40, 1 Sc 2.61



[24]
Here is a relaxed structure of Er6AuSe2S3 from Alexandria via LeMat-Bulk. Energies are from PBE-GGA.

The raw total energy comes out at -5.849 eV per atom.

a = 6.8815 Å, b = 11.9282 Å, c = 6.8790 Å
α = 90.00°, β = 109.48°, γ = 90.00°
Closest atoms and distances in Å follow each position.
Space group C2/m (No. 12)
One atom of each set of equivalent atoms:
Er: 0.2430 0.0000 0.2340 (multiplicity 4)  3 S 2.76-2.78, 2 Se 2.86, 1 Au 2.86
Er: 0.2475 0.3333 0.2385 (multiplicity 8)  3 S 2.74-2.77, 1 Au 2.85, 2 Se 2.86
Au: 0.0000 0.0000 0.5000 (multiplicity 2)  6 Er 2.85-2.86
Se: 0.0000 0.3351 0.5000 (multiplicity 4)  6 Er 2.86
S: 0.0000 0.1705 0.0000 (multiplicity 4)  6 Er 2.74-2.78
S: 0.0000 0.5000 0.0000 (multiplicity 2)  6 Er 2.76-2.77



[25]
Here is a relaxed structure of YHfSbW2 from Alexandria via LeMat-Bulk. Energies are from PBE-GGA.

The raw total energy comes out at -7.849 eV per atom.

a = 4.8932 Å, b = 4.8932 Å, c = 5.3428 Å
α = 90.00°, β = 90.00°, γ = 90.00°
Closest atoms and distances in Å follow each position.
Space group P4/mmm (No. 123)
One atom of each set of equivalent atoms:
Y: 0.0000 0.0000 0.0000 (multiplicity 1)  4 Sb 3.46, 8 W 3.62
Hf: 0.5000 0.5000 0.5000 (multiplicity 1)  4 W 2.45, 2 Sb 2.67
Sb: 0.5000 0.5000 0.0000 (multiplicity 1)  2 Hf 2.67
W: 0.0000 0.5000 0.5000 (multiplicity 2)  2 Hf 2.45



For reference, spin magnetization by record: 0.1, 0.0, 0.0, 0.0, 0.0, 0.0, 0.0, 0.0, 1.8, 0.0, 1.9, 1.2, 0.0, 6.8, 1.3, 0.0, 0.0, 0.0, 0.0, 0.0, 0.0, 0.0, 0.0, 0.0, 0.0 μB per formula unit.